DFT (PBE) results for an optimized crystal structure of Dy3Zn3NiPd2.

Cell: 7.2023 7.2023 3.8232 Å, 90.00 90.00 120.00°
Space group P-62m (No. 189)
One atom of each set of equivalent atoms:
Dy1 0.0000 0.5986 0.0000 x3
Zn1 0.0000 0.2361 0.5000 x3
Ni1 0.0000 0.0000 0.0000 x1
Pd1 0.3333 0.6667 0.5000 x2

## Properties
Calculated total energy (Ry/atom): -0.323
E_form (eV/atom): -0.664
M_tot (μB per cell): 0.00